## a
Below is a geometry-optimized Nb3SnTe structure, with properties calculated at the GGA-PBE level.

Cell and atoms, written as CIF:
```
data_Nb3SnTe
_space_group_name_H-M_alt 'P m -3 m'
_space_group_IT_number 221
_space_group_name_Hall '-P 4 2 3'
_cell_length_a 5.0911
_cell_length_b 5.0911
_cell_length_c 5.0911
_cell_angle_alpha 90.00
_cell_angle_beta 90.00
_cell_angle_gamma 90.00
loop_
_atom_site_label
_atom_site_type_symbol
_atom_site_fract_x
_atom_site_fract_y
_atom_site_fract_z
Nb1 Nb 0.0000 0.0000 0.5000
Sn1 Sn 0.0000 0.0000 0.0000
Te1 Te 0.5000 0.5000 0.5000
```

**Density**: 6.6 g cm⁻³
**V**: 26.4 A^3/atom
**Spin magnetization**: 0.01 μB per formula unit
**Crystal system**: cubic



## b
Below is a geometry-optimized Nb3SnTe structure, with properties calculated at the GGA-PBE level.

Cell and atoms, written as CIF:
```
data_Nb3SnTe
_space_group_name_H-M_alt 'C 1 2/m 1'
_space_group_IT_number 12
_space_group_name_Hall '-C 2y'
_cell_length_a 10.2834
_cell_length_b 5.9423
_cell_length_c 7.8822
_cell_angle_alpha 90.00
_cell_angle_beta 115.71
_cell_angle_gamma 90.00
loop_
_atom_site_label
_atom_site_type_symbol
_atom_site_fract_x
_atom_site_fract_y
_atom_site_fract_z
Nb1 Nb 0.1046 0.0000 0.3268
Nb2 Nb 0.1398 0.2435 0.6735
Sn1 Sn 0.1062 0.5000 0.3211
Te1 Te 0.1671 0.0000 0.0026
```

**Density**: 8.0 g cm⁻³
**V**: 21.7 A^3/atom
**Spin magnetization**: 0.00 μB per formula unit
**Crystal system**: monoclinic



## c
Below is a geometry-optimized Nb3SnTe structure, with properties calculated at the GGA-PBE level.

Cell and atoms, written as CIF:
```
data_Nb3SnTe
_space_group_name_H-M_alt 'P m -3 m'
_space_group_IT_number 221
_space_group_name_Hall '-P 4 2 3'
_cell_length_a 5.0310
_cell_length_b 5.0310
_cell_length_c 5.0310
_cell_angle_alpha 90.00
_cell_angle_beta 90.00
_cell_angle_gamma 90.00
loop_
_atom_site_label
_atom_site_type_symbol
_atom_site_fract_x
_atom_site_fract_y
_atom_site_fract_z
Nb1 Nb 0.0000 0.0000 0.5000
Sn1 Sn 0.5000 0.5000 0.5000
Te1 Te 0.0000 0.0000 0.0000
```

**Density**: 6.8 g cm⁻³
**V**: 25.5 A^3/atom
**Spin magnetization**: 0.00 μB per formula unit
**Crystal system**: cubic



Stability, lowest: a



## a
Below is a geometry-optimized NbSn3Te structure, with properties calculated at the GGA-PBE level.

Cell and atoms, written as CIF:
```
data_NbSn3Te
_space_group_name_H-M_alt 'P m -3 m'
_space_group_IT_number 221
_space_group_name_Hall '-P 4 2 3'
_cell_length_a 5.5732
_cell_length_b 5.5732
_cell_length_c 5.5732
_cell_angle_alpha 90.00
_cell_angle_beta 90.00
_cell_angle_gamma 90.00
loop_
_atom_site_label
_atom_site_type_symbol
_atom_site_fract_x
_atom_site_fract_y
_atom_site_fract_z
Nb1 Nb 0.0000 0.0000 0.0000
Sn1 Sn 0.0000 0.5000 0.5000
Te1 Te 0.5000 0.5000 0.5000
```

**Density**: 5.5 g cm⁻³
**V**: 34.6 A^3/atom
**Spin magnetization**: 0.00 μB per formula unit
**Crystal system**: cubic



## b
Below is a geometry-optimized NbSn3Te structure, with properties calculated at the GGA-PBE level.

Cell and atoms, written as CIF:
```
data_NbSn3Te
_space_group_name_H-M_alt 'P m -3 m'
_space_group_IT_number 221
_space_group_name_Hall '-P 4 2 3'
_cell_length_a 5.4470
_cell_length_b 5.4470
_cell_length_c 5.4470
_cell_angle_alpha 90.00
_cell_angle_beta 90.00
_cell_angle_gamma 90.00
loop_
_atom_site_label
_atom_site_type_symbol
_atom_site_fract_x
_atom_site_fract_y
_atom_site_fract_z
Nb1 Nb 0.0000 0.0000 0.0000
Sn1 Sn 0.0000 0.0000 0.5000
Te1 Te 0.5000 0.5000 0.5000
```

**Density**: 5.9 g cm⁻³
**V**: 32.3 A^3/atom
**Spin magnetization**: 2.02 μB per formula unit
**Crystal system**: cubic



Stability, lowest: a



## a
Below is a geometry-optimized NbSnTe3 structure, with properties calculated at the GGA-PBE level.

Cell and atoms, written as CIF:
```
data_NbSnTe3
_space_group_name_H-M_alt 'P m -3 m'
_space_group_IT_number 221
_space_group_name_Hall '-P 4 2 3'
_cell_length_a 5.5926
_cell_length_b 5.5926
_cell_length_c 5.5926
_cell_angle_alpha 90.00
_cell_angle_beta 90.00
_cell_angle_gamma 90.00
loop_
_atom_site_label
_atom_site_type_symbol
_atom_site_fract_x
_atom_site_fract_y
_atom_site_fract_z
Nb1 Nb 0.0000 0.0000 0.0000
Sn1 Sn 0.5000 0.5000 0.5000
Te1 Te 0.0000 0.5000 0.5000
```

**Density**: 5.6 g cm⁻³
**V**: 35.0 A^3/atom
**Spin magnetization**: 2.31 μB per formula unit
**Crystal system**: cubic



## b
Below is a geometry-optimized NbSnTe3 structure, with properties calculated at the GGA-PBE level.

Cell and atoms, written as CIF:
```
data_NbSnTe3
_space_group_name_H-M_alt 'P m -3 m'
_space_group_IT_number 221
_space_group_name_Hall '-P 4 2 3'
_cell_length_a 5.4443
_cell_length_b 5.4443
_cell_length_c 5.4443
_cell_angle_alpha 90.00
_cell_angle_beta 90.00
_cell_angle_gamma 90.00
loop_
_atom_site_label
_atom_site_type_symbol
_atom_site_fract_x
_atom_site_fract_y
_atom_site_fract_z
Nb1 Nb 0.0000 0.0000 0.0000
Sn1 Sn 0.5000 0.5000 0.5000
Te1 Te 0.0000 0.0000 0.5000
```

**Density**: 6.1 g cm⁻³
**V**: 32.3 A^3/atom
**Spin magnetization**: 0.00 μB per formula unit
**Crystal system**: cubic



Stability, lowest: a



## a
Below is a geometry-optimized Th2NbSn structure, with properties calculated at the GGA-PBE level.

Cell and atoms, written as CIF:
```
data_Th2NbSn
_space_group_name_H-M_alt 'P 4/m m m'
_space_group_IT_number 123
_space_group_name_Hall '-P 4 2'
_cell_length_a 4.9042
_cell_length_b 4.9042
_cell_length_c 4.3871
_cell_angle_alpha 90.00
_cell_angle_beta 90.00
_cell_angle_gamma 90.00
loop_
_atom_site_label
_atom_site_type_symbol
_atom_site_fract_x
_atom_site_fract_y
_atom_site_fract_z
Th1 Th 0.0000 0.5000 0.0000
Nb1 Nb 0.0000 0.0000 0.5000
Sn1 Sn 0.5000 0.5000 0.5000
```

**Density**: 10.6 g cm⁻³
**V**: 26.4 A^3/atom
**Spin magnetization**: 0.00 μB per formula unit
**Crystal system**: tetragonal



## b
Below is a geometry-optimized Th2NbSn structure, with properties calculated at the GGA-PBE level.

Cell and atoms, written as CIF:
```
data_Th2NbSn
_space_group_name_H-M_alt 'R -3 m'
_space_group_IT_number 166
_space_group_name_Hall '-R 3 2"'
_cell_length_a 3.3104
_cell_length_b 3.3104
_cell_length_c 34.5741
_cell_angle_alpha 90.00
_cell_angle_beta 90.00
_cell_angle_gamma 120.00
loop_
_atom_site_label
_atom_site_type_symbol
_atom_site_fract_x
_atom_site_fract_y
_atom_site_fract_z
Th1 Th 0.0000 0.0000 0.0844
Nb1 Nb 0.0000 0.0000 0.0000
Sn1 Sn 0.0000 0.0000 0.5000
```

**Density**: 10.3 g cm⁻³
**V**: 27.3 A^3/atom
**Spin magnetization**: 0.00 μB per formula unit
**Crystal system**: trigonal



Stability, lowest: b